HgAs2Ir | PBE-GGA | relaxed

POSCAR file:
```
HgAs2Ir
1.0
-2.115 -0.640 5.599
-4.407 -3.539 -2.070
0.020 -6.598 2.489
As Hg Ir
4 2 2
direct
0.569 0.125 0.250
0.375 0.431 0.750
0.875 0.819 0.750
0.181 0.625 0.250
0.750 0.250 0.500
0.000 0.000 0.000
0.250 0.750 0.500
0.500 0.500 0.000
```

Summary:
energy = -0.164 hartree per atom
ρ = 8.8 g/cm3
formation enthalpy at 0 K = 0.141 eV per atom

CdGeO | PBE-GGA | relaxed

POSCAR file:
```
CdGeO
1.0
7.104 0.000 -0.007
0.000 3.017 0.000
-1.264 0.000 5.057
O Cd Ge
2 2 2
direct
0.139 0.000 0.447
0.139 0.500 0.947
0.747 0.500 0.813
0.747 0.000 0.313
0.294 0.500 0.666
0.294 0.000 0.166
```

Summary:
energy = -0.150 hartree per atom
formation energy without anion corrections = -0.588 eV per atom
ρ = 6.2 g/cm3

Be2CrTe | PBE-GGA | relaxed

POSCAR file:
```
Be2CrTe
1.0
-2.820 0.971 -6.149
-5.456 -0.245 -4.109
-4.552 3.184 -3.982
Be Te Cr
2 1 1
direct
0.920 0.920 0.920
0.263 0.263 0.263
0.782 0.782 0.782
0.535 0.535 0.535
```

Summary:
energy = -0.173 hartree per atom
formation energy without anion corrections = 0.342 eV per atom
ρ = 4.6 g/cm3